Entry 1:
Crystalline La2ScGe3Pt4 at its relaxed geometry. Source: Alexandria via LeMat-Bulk, functional PBE.

Calculated values
Its density is 10.73 g cm⁻³. The value obtained for the total energy is -6.44 eV per atom. The calculation puts the formation enthalpy at 0 K at -1024 meV per atom.

Unit cell a=4.3523 b=4.3523 c=10.7897 alpha=90.00 beta=90.00 gamma=90.00
With the nearest neighbours (Å) after each atom.
Space group P-4m2 (No. 115)
Symmetry-distinct sites (fractional):
La 0.0000 0.5000 0.2354 [2 per cell]  6 Ge 3.30-3.59, 8 Pt 3.34, 2 Sc 3.59
Sc 0.0000 0.0000 0.5000 [1 per cell]  4 Pt 2.67
Ge 0.0000 0.5000 0.8745 [2 per cell]  5 Pt 2.49-2.56
Ge 0.5000 0.5000 0.5000 [1 per cell]  4 Pt 2.67
Pt 0.0000 0.0000 0.0000 [1 per cell]  4 Ge 2.56
Pt 0.0000 0.5000 0.6435 [2 per cell]  3 Ge 2.49-2.67, 2 Sc 2.67
Pt 0.5000 0.5000 0.0000 [1 per cell]  4 Ge 2.56

=====

Entry 2:
Crystalline La2SiGe3Pt4 at its relaxed geometry. Source: Alexandria via LeMat-Bulk, functional PBE.

Calculated values
For the uncorrected formation energy, the calculation gives -1009 meV per atom. Its density is 11.11 g cm⁻³. The value obtained for the total energy is -6.34 eV per atom.

Unit cell a=4.4167 b=4.4167 c=9.9887 alpha=90.00 beta=90.00 gamma=90.00
With the nearest neighbours (Å) after each atom.
Space group P-4m2 (No. 115)
Symmetry-distinct sites (fractional):
La 0.0000 0.5000 0.2454 [2 per cell]  6 Ge 3.30-3.36, 2 Si 3.30, 9 Pt 3.37-3.62
Si 0.5000 0.5000 0.0000 [1 per cell]  4 Pt 2.50
Ge 0.0000 0.0000 0.0000 [1 per cell]  4 Pt 2.50
Ge 0.0000 0.5000 0.6311 [2 per cell]  5 Pt 2.52-2.57
Pt 0.0000 0.0000 0.5000 [1 per cell]  4 Ge 2.57
Pt 0.0000 0.5000 0.8834 [2 per cell]  3 Ge 2.50-2.52, 2 Si 2.50
Pt 0.5000 0.5000 0.5000 [1 per cell]  4 Ge 2.57

=====

Entry 3:
Crystalline La2Si3GePt4 at its relaxed geometry. Source: Alexandria via LeMat-Bulk, functional PBE.

Calculated values
For the uncorrected formation energy, the calculation gives -1089 meV per atom. Its density is 10.72 g cm⁻³. The value obtained for the total energy is -6.58 eV per atom.

Unit cell a=4.3584 b=4.3584 c=9.9089 alpha=90.00 beta=90.00 gamma=90.00
With the nearest neighbours (Å) after each atom.
Space group P-4m2 (No. 115)
Symmetry-distinct sites (fractional):
La 0.0000 0.5000 0.2467 [2 per cell]  2 Ge 3.27, 6 Si 3.27-3.33, 8 Pt 3.30-3.32
Si 0.0000 0.0000 0.0000 [1 per cell]  4 Pt 2.52
Si 0.0000 0.5000 0.6263 [2 per cell]  5 Pt 2.44-2.51
Ge 0.5000 0.5000 0.0000 [1 per cell]  4 Pt 2.52
Pt 0.0000 0.0000 0.5000 [1 per cell]  4 Si 2.51
Pt 0.0000 0.5000 0.8730 [2 per cell]  3 Si 2.44-2.52, 2 Ge 2.52
Pt 0.5000 0.5000 0.5000 [1 per cell]  4 Si 2.51

=====

Entry 4:
Crystalline La2SiGe4Pt3 at its relaxed geometry. Source: Alexandria via LeMat-Bulk, functional PBE.

Calculated values
For the uncorrected formation energy, the calculation gives -857 meV per atom. Its density is 9.88 g cm⁻³. The value obtained for the total energy is -6.04 eV per atom.

Unit cell a=4.4417 b=4.4417 c=10.0647 alpha=90.00 beta=90.00 gamma=90.00
With the nearest neighbours (Å) after each atom.
Space group P-4m2 (No. 115)
Symmetry-distinct sites (fractional):
La 0.0000 0.5000 0.2493 [2 per cell]  8 Ge 3.35-3.36, 7 Pt 3.36-3.75, 2 Si 3.36
Si 0.0000 0.0000 0.5000 [1 per cell]  4 Ge 2.58
Ge 0.0000 0.0000 0.0000 [1 per cell]  4 Pt 2.54
Ge 0.0000 0.5000 0.6312 [2 per cell]  3 Pt 2.47-2.58, 2 Si 2.58
Ge 0.5000 0.5000 0.0000 [1 per cell]  4 Pt 2.54
Pt 0.0000 0.5000 0.8770 [2 per cell]  5 Ge 2.47-2.54
Pt 0.5000 0.5000 0.5000 [1 per cell]  4 Ge 2.58